First-principles (GGA-PBE) data for crystalline RbAu3 at its relaxed geometry, as listed in Alexandria.

## Properties
DOS at the Fermi energy: 0.192 states/eV/atom
energy of formation from the pure elements: -0.188 eV/atom
symmetry: C2/m, No. 12
energy above the most stable polymorph in this dataset: 0 meV per atom
crystal system: monoclinic

a b c (Å): 5.8702 5.8702 10.1374
angles (deg): 90.27 107.02 119.10
Fractional positions:
Rb (0.7151, 0.8586, 0.5736)
Rb (0.0000, 0.0000, 0.0000)
Rb (0.2849, 0.1414, 0.4264)
Au (0.6638, 0.3330, 0.9968)
Au (0.6615, 0.5801, 0.2416)
Au (0.3362, 0.6670, 0.0032)
Au (0.3385, 0.4199, 0.7584)
Au (0.8417, 0.4214, 0.7607)
Au (0.6607, 0.0810, 0.2393)
Au (0.3393, 0.9190, 0.7607)
Au (0.0000, 0.5000, 0.5000)
Au (0.1583, 0.5786, 0.2393)

=====

First-principles (GGA-PBE) data for crystalline GaCo3Mo at its relaxed geometry, as listed in Alexandria.

## Properties
DOS at the Fermi energy: 1.527 states/eV/atom
energy of formation from the pure elements: 1.379 eV/atom
symmetry: Pm-3m, No. 221
energy above the most stable polymorph in this dataset: 214 meV per atom
crystal system: cubic

a b c (Å): 4.4195 4.4195 4.4195
angles (deg): 90.00 90.00 90.00
Fractional positions:
Co (0.5000, 0.0000, 0.0000)
Co (0.0000, 0.5000, 0.0000)
Co (0.0000, 0.0000, 0.5000)
Ga (0.5000, 0.5000, 0.5000)
Mo (0.0000, 0.0000, 0.0000)

=====

First-principles (GGA-PBE) data for crystalline Ce2Ga3Ni12Pt at its relaxed geometry, as listed in Alexandria.

## Properties
DOS at the Fermi energy: 0.484 states/eV/atom
energy of formation from the pure elements: -0.144 eV/atom
symmetry: R-3m, No. 166
crystal system: trigonal

a b c (Å): 6.3636 6.3636 6.3636
angles (deg): 83.29 83.29 83.29
Fractional positions:
Ni (0.3952, 0.8935, 0.3952)
Ni (0.2021, 0.2021, 0.6987)
Ni (0.6048, 0.6048, 0.1065)
Ni (0.6987, 0.2021, 0.2021)
Ni (0.7979, 0.3013, 0.7979)
Ni (0.2021, 0.6987, 0.2021)
Ni (0.8935, 0.3952, 0.3952)
Ni (0.3952, 0.3952, 0.8935)
Ni (0.3013, 0.7979, 0.7979)
Ni (0.1065, 0.6048, 0.6048)
Ni (0.7979, 0.7979, 0.3013)
Ni (0.6048, 0.1065, 0.6048)
Ce (0.3399, 0.3399, 0.3399)
Ce (0.6601, 0.6601, 0.6601)
Ga (0.0000, 0.0000, 0.5000)
Ga (0.5000, 0.0000, 0.0000)
Ga (0.0000, 0.5000, 0.0000)
Pt (0.0000, 0.0000, 0.0000)

=====

First-principles (GGA-PBE) data for crystalline MgBeSn2As at its relaxed geometry, as listed in Alexandria.

## Properties
DOS at the Fermi energy: 0.327 states/eV/atom
energy of formation from the pure elements: 0.354 eV/atom
symmetry: P4/mmm, No. 123
crystal system: tetragonal

a b c (Å): 5.8236 5.8236 3.9361
angles (deg): 90.00 90.00 90.00
Fractional positions:
Be (0.0000, 0.0000, 0.5000)
Mg (0.5000, 0.5000, 0.5000)
As (0.0000, 0.0000, 0.0000)
Sn (0.0000, 0.5000, 0.0000)
Sn (0.5000, 0.0000, 0.0000)

=====

First-principles (GGA-PBE) data for crystalline Ca6Ge2PN at its relaxed geometry, as listed in Alexandria.

## Properties
uncorrected formation energy: -0.7047 eV/atom
DOS at the Fermi energy: 0.877 states/eV/atom
symmetry: P2_1/c, No. 14
crystal system: monoclinic

a b c (Å): 6.9426 7.3718 10.1212
angles (deg): 90.00 88.69 90.00
Fractional positions:
Ca (0.7900, 0.8212, 0.5474)
Ca (0.1733, 0.2144, 0.0410)
Ca (0.9103, 0.5204, 0.2331)
Ca (0.2900, 0.6788, 0.0474)
Ca (0.7100, 0.3212, 0.9526)
Ca (0.8267, 0.7856, 0.9590)
Ca (0.2100, 0.1788, 0.4526)
Ca (0.6733, 0.2856, 0.5410)
Ca (0.3267, 0.7144, 0.4590)
Ca (0.5897, 0.0204, 0.2669)
Ca (0.4103, 0.9796, 0.7331)
Ca (0.0897, 0.4796, 0.7669)
Ge (0.4721, 0.4227, 0.2463)
Ge (0.9721, 0.0773, 0.7463)
Ge (0.5279, 0.5773, 0.7537)
Ge (0.0279, 0.9227, 0.2537)
N (0.0000, 0.5000, 0.0000)
N (0.5000, 0.0000, 0.5000)
P (0.5000, 0.0000, 0.0000)
P (0.0000, 0.5000, 0.5000)

=====

First-principles (GGA-PBE) data for crystalline CsHf3Pb at its relaxed geometry, as listed in Alexandria.

## Properties
DOS at the Fermi energy: 1.979 states/eV/atom
energy of formation from the pure elements: 1.571 eV/atom
symmetry: Pm-3m, No. 221
energy above the most stable polymorph in this dataset: 0 meV per atom
crystal system: cubic

a b c (Å): 5.5885 5.5885 5.5885
angles (deg): 90.00 90.00 90.00
Fractional positions:
Hf (0.0000, 0.0000, 0.5000)
Hf (0.5000, 0.0000, 0.0000)
Hf (0.0000, 0.5000, 0.0000)
Pb (0.0000, 0.0000, 0.0000)
Cs (0.5000, 0.5000, 0.5000)

=====

First-principles (GGA-PBE) data for crystalline Ti2WN at its relaxed geometry, as listed in Alexandria.

## Properties
uncorrected formation energy: -0.5745 eV/atom
DOS at the Fermi energy: 0.659 states/eV/atom
symmetry: R-3m, No. 166
crystal system: trigonal

a b c (Å): 2.9061 2.9061 7.7446
angles (deg): 79.19 79.19 60.00
Fractional positions:
W (0.0000, 0.0000, 0.0000)
N (0.5000, 0.5000, 0.5000)
Ti (0.1138, 0.1138, 0.6587)
Ti (0.8862, 0.8862, 0.3413)

=====

First-principles (GGA-PBE) data for crystalline Tb2Y7Er2 at its relaxed geometry, as listed in Alexandria.

## Properties
DOS at the Fermi energy: 1.747 states/eV/atom
energy of formation from the pure elements: 0.103 eV/atom
symmetry: C2/m, No. 12
energy above the most stable polymorph in this dataset: 0 meV per atom
crystal system: monoclinic

a b c (Å): 8.6476 6.5103 6.5103
angles (deg): 92.96 82.12 82.12
Fractional positions:
Y (0.4086, 0.8474, 0.8474)
Y (0.2078, 0.4488, 0.0812)
Y (0.7922, 0.9188, 0.5512)
Y (0.2078, 0.0812, 0.4488)
Y (0.5914, 0.1526, 0.1526)
Y (0.0000, 0.0000, 0.0000)
Y (0.7922, 0.5512, 0.9188)
Tb (0.5000, 0.6765, 0.3235)
Tb (0.5000, 0.3235, 0.6765)
Er (0.1447, 0.6042, 0.6042)
Er (0.8553, 0.3958, 0.3958)

=====

First-principles (GGA-PBE) data for crystalline PuTh2Os at its relaxed geometry, as listed in Alexandria.

## Properties
DOS at the Fermi energy: 3.285 states/eV/atom
energy of formation from the pure elements: 0.285 eV/atom
symmetry: R-3m, No. 166
energy above the most stable polymorph in this dataset: 265 meV per atom
crystal system: trigonal

a b c (Å): 3.9187 3.9187 10.3425
angles (deg): 79.08 79.08 60.00
Fractional positions:
Pu (0.0000, 0.0000, 0.0000)
Th (0.8877, 0.8877, 0.3368)
Th (0.1123, 0.1123, 0.6632)
Os (0.5000, 0.5000, 0.5000)

=====

First-principles (GGA-PBE) data for crystalline Nb2IO at its relaxed geometry, as listed in Alexandria.

## Properties
uncorrected formation energy: -0.2715 eV/atom
DOS at the Fermi energy: 0.980 states/eV/atom
symmetry: I-42d, No. 122
energy above the most stable polymorph in this dataset: 0 meV per atom
crystal system: tetragonal

a b c (Å): 5.0456 5.0456 7.3740
angles (deg): 69.99 69.99 90.00
Fractional positions:
I (0.7500, 0.2500, 0.5000)
I (0.0000, 0.0000, 0.0000)
Nb (0.3750, 0.5116, 0.7500)
Nb (0.2616, 0.6250, 0.2500)
Nb (0.8750, 0.7384, 0.7500)
Nb (0.4884, 0.1250, 0.2500)
O (0.2500, 0.7500, 0.5000)
O (0.5000, 0.5000, 0.0000)

=====

First-principles (GGA-PBE) data for crystalline DyPu2N at its relaxed geometry, as listed in Alexandria.

## Properties
uncorrected formation energy: 0.3076 eV/atom
DOS at the Fermi energy: 1.720 states/eV/atom
symmetry: R-3m, No. 166
crystal system: trigonal

a b c (Å): 4.0619 4.0619 6.7831
angles (deg): 72.58 72.58 60.00
Fractional positions:
Pu (0.3465, 0.3465, 0.9605)
Pu (0.6535, 0.6535, 0.0395)
N (0.0000, 0.0000, 0.0000)
Dy (0.5000, 0.5000, 0.5000)

=====

First-principles (GGA-PBE) data for crystalline CaMg2Ir at its relaxed geometry, as listed in Alexandria.

## Properties
DOS at the Fermi energy: 0.652 states/eV/atom
energy of formation from the pure elements: 0.074 eV/atom
symmetry: R3m, No. 160
crystal system: trigonal

a b c (Å): 9.9854 9.9854 9.9854
angles (deg): 18.56 18.56 18.56
Fractional positions:
Mg (0.0139, 0.0139, 0.0139)
Mg (0.2544, 0.2544, 0.2544)
Ca (0.4854, 0.4854, 0.4854)
Ir (0.7463, 0.7463, 0.7463)

=====

Per-record total energy, eV per cell: -34.65 -28.28 -98.97 -16.21 -84.05 -26.57 -39.37 -62.50 -39.26 -55.47 -40.36 -13.75